Crystalline Cr3NiTe2P6O24 at its relaxed geometry, computed with PBE+U.

Geometry as CIF:
```
data_Cr3NiTe2P6O24
_chemical_formula_sum 'Cr9 Ni3 Te6 P18 O72'
_cell_length_a 8.6410
_cell_length_b 8.6410
_cell_length_c 21.8525
_cell_angle_alpha 90.00
_cell_angle_beta 90.00
_cell_angle_gamma 120.00
_space_group_name_H-M_alt 'R 3'
_space_group_IT_number 146
_space_group_name_Hall 'R 3'
loop_
_atom_site_label
_atom_site_fract_x
_atom_site_fract_y
_atom_site_fract_z
_atom_site_occupancy
Cr1 0.0000 0.0000 0.0000 1
Cr2 0.0000 0.0000 0.2097 1
Cr3 0.0000 0.0000 0.7058 1
Ni1 0.0000 0.0000 0.5066 1
Te1 0.0000 0.0000 0.3656 1
Te2 0.0000 0.0000 0.8577 1
P1 0.0421 0.6679 0.2695 1
P2 0.0470 0.3781 0.7681 1
O1 0.0001 0.1977 0.1609 1
O2 0.0104 0.2015 0.0427 1
O3 0.0102 0.7992 0.5432 1
O4 0.0129 0.8335 0.2733 1
O5 0.0174 0.1846 0.7691 1
O6 0.1386 0.6735 0.3285 1
O7 0.1704 0.6824 0.6034 1
O8 0.1716 0.4865 0.0981 1
```

Properties
Energy: -0.5084 Ry per atom